Here is crystalline Pr3Te2I2 at its relaxed geometry from Alexandria via LeMat-Bulk. Energies are from PBE-GGA.

Structure (extended XYZ):
```
7
Lattice="4.429 0.000 0.000 2.210 7.405 0.000 0.008 1.561 7.868" Properties=species:S:1:pos:R:3 pbc="T T T"
Pr 0.000 0.000 0.000
Pr 2.214 4.898 6.281
Pr 4.433 4.068 1.586
Te 2.216 1.879 1.273
Te 4.430 7.087 6.595
I 2.217 6.049 2.997
I 4.430 2.917 4.871
```

V = 36.86 Å³ per atom
Density of states at the Fermi level = 3.51 states/eV/f.u.
Electronic total energy = -0.1745 hartree per atom
Raw formation energy = -1360 meV per atom